No. 1
The following is a DFT calculation (GGA-PBE) of a relaxed Cs2NdBe2S4 crystal.

Output
* formation energy (no corrections): -1.19 eV per atom

Unit cell a=3.806 b=8.428 c=7.785 alpha=110.50 beta=104.15 gamma=90.00
Element x y z (fractional)
S: 0.540 0.777 0.080
S: 0.206 0.121 0.412
Be: 0.673 0.968 0.347
S: 0.460 0.223 0.920
Be: 0.327 0.032 0.653
Nd: 0.000 0.000 0.000
S: 0.794 0.879 0.588
Cs: 0.134 0.544 0.267
Cs: 0.866 0.456 0.733

=====

No. 2
The following is a DFT calculation (GGA-PBE) of a relaxed RbNiPS2 crystal.

Output
* offset from the most stable computed form: 0.000 eV per atom
* formation energy (no corrections): 0.03 eV per atom

Unit cell a=4.967 b=4.967 c=4.240 alpha=90.00 beta=90.00 gamma=90.00
Element x y z (fractional)
Ni: 0.000 0.000 0.000
Rb: 0.500 0.500 0.500
S: 0.500 0.000 0.000
P: 0.000 0.000 0.500
S: 0.000 0.500 0.000

=====

No. 3
The following is a DFT calculation (GGA-PBE) of a relaxed Ca2Al3CdAu12 crystal.

Output
* E_form: -0.166 eV per atom

Unit cell a=8.070 b=8.070 c=8.070 alpha=65.43 beta=65.43 gamma=65.43
Element x y z (fractional)
Au: 0.885 0.356 0.356
Au: 0.356 0.885 0.356
Al: 0.500 0.000 0.000
Au: 0.857 0.388 0.857
Au: 0.857 0.857 0.388
Ca: 0.602 0.602 0.602
Au: 0.356 0.356 0.885
Au: 0.612 0.143 0.143
Cd: 0.000 0.000 0.000
Au: 0.388 0.857 0.857
Au: 0.644 0.115 0.644
Ca: 0.398 0.398 0.398
Al: 0.000 0.000 0.500
Al: 0.000 0.500 0.000
Au: 0.143 0.143 0.612
Au: 0.644 0.644 0.115
Au: 0.115 0.644 0.644
Au: 0.143 0.612 0.143

=====

No. 4
The following is a DFT calculation (GGA-PBE) of a relaxed ZrCoAg2 crystal.

Output
* offset from the most stable computed form: 0.115 eV per atom
* E_form: 0.129 eV per atom

Unit cell a=3.788 b=3.795 c=4.733 alpha=90.00 beta=90.00 gamma=90.00
Element x y z (fractional)
Ag: 0.000 0.000 0.000
Ag: 0.500 0.500 0.000
Zr: 0.000 0.500 0.500
Co: 0.500 0.000 0.500

=====

No. 5
The following is a DFT calculation (GGA-PBE) of a relaxed CaUPt2 crystal.

Output
* offset from the most stable computed form: 0.000 eV per atom
* E_form: -0.734 eV per atom

Unit cell a=3.445 b=3.445 c=7.365 alpha=90.00 beta=90.00 gamma=90.00
Element x y z (fractional)
Pt: 0.000 0.000 0.778
U: 0.500 0.500 0.000
Ca: 0.500 0.500 0.500
Pt: 0.000 0.000 0.222

=====

No. 6
The following is a DFT calculation (GGA-PBE) of a relaxed Al6Ga5Ag crystal.

Output
* offset from the most stable computed form: 0.000 eV per atom
* E_form: 0.026 eV per atom

Unit cell a=5.195 b=9.305 c=6.380 alpha=43.18 beta=83.25 gamma=80.72
Element x y z (fractional)
Al: 0.755 0.749 0.000
Ga: 0.500 0.500 0.000
Ga: 0.000 0.666 0.667
Al: 0.245 0.251 0.000
Ag: 0.000 0.000 0.000
Al: 0.746 0.083 0.332
Ga: 0.500 0.832 0.335
Ga: 0.000 0.334 0.333
Al: 0.254 0.585 0.332
Al: 0.746 0.415 0.668
Ga: 0.500 0.168 0.665
Al: 0.254 0.917 0.668

=====

No. 7
The following is a DFT calculation (GGA-PBE) of a relaxed Tb12Nd5Dy2 crystal.

Output
* E_form: 0.212 eV per atom

Unit cell a=9.148 b=10.049 c=8.701 alpha=67.01 beta=90.00 gamma=117.07
Element x y z (fractional)
Tb: 0.403 0.253 0.545
Tb: 0.150 0.747 0.455
Nd: 0.712 0.423 0.776
Tb: 0.330 0.291 0.093
Dy: 0.673 0.000 0.000
Nd: 0.238 0.476 0.705
Tb: 0.850 0.253 0.545
Tb: 0.670 0.709 0.907
Dy: 0.327 0.000 0.000
Nd: 0.762 0.524 0.295
Tb: 0.597 0.747 0.455
Tb: 0.953 0.907 0.183
Tb: 0.562 0.124 0.281
Nd: 0.000 0.000 0.500
Tb: 0.039 0.709 0.907
Nd: 0.288 0.577 0.224
Tb: 0.438 0.876 0.719
Tb: 0.047 0.093 0.817
Tb: 0.961 0.291 0.093

=====

No. 8
The following is a DFT calculation (GGA-PBE) of a relaxed KTeO5 crystal.

Output
* formation energy (no corrections): -0.75 eV per atom

Unit cell a=3.960 b=5.111 c=6.549 alpha=72.85 beta=90.00 gamma=90.00
Element x y z (fractional)
O: 0.500 0.671 0.211
O: 0.500 0.888 0.586
K: 0.000 0.000 0.000
Te: 0.500 0.500 0.500
O: 0.000 0.500 0.500
O: 0.500 0.329 0.789
O: 0.500 0.112 0.414

=====

No. 9
The following is a DFT calculation (GGA-PBE) of a relaxed NiIr2Se crystal.

Output
* offset from the most stable computed form: 0.266 eV per atom
* formation energy (no corrections): 0.51 eV per atom

Unit cell a=2.752 b=2.752 c=9.022 alpha=90.00 beta=90.00 gamma=119.80
Element x y z (fractional)
Ir: 0.000 0.000 0.016
Ir: 0.000 0.000 0.484
Se: 0.500 0.500 0.750
Ni: 0.500 0.500 0.250

=====

No. 10
The following is a DFT calculation (GGA-PBE) of a relaxed In2WBr crystal.

Output
* offset from the most stable computed form: 0.574 eV per atom
* formation energy (no corrections): 0.93 eV per atom

Unit cell a=5.531 b=5.531 c=5.531 alpha=133.86 beta=133.86 gamma=67.30
Element x y z (fractional)
In: 0.000 0.000 0.000
W: 0.250 0.750 0.500
Br: 0.750 0.250 0.500
In: 0.500 0.500 0.000

=====

No. 11
The following is a DFT calculation (GGA-PBE) of a relaxed PrTh2Hg5 crystal.

Output
* E_form: -0.293 eV per atom

Unit cell a=5.213 b=5.213 c=8.695 alpha=107.44 beta=107.44 gamma=90.00
Element x y z (fractional)
Hg: 0.380 0.880 0.760
Pr: 0.000 0.000 0.000
Hg: 0.880 0.380 0.760
Th: 0.263 0.263 0.527
Th: 0.737 0.737 0.473
Hg: 0.500 0.500 0.000
Hg: 0.620 0.120 0.240
Hg: 0.120 0.620 0.240

=====

No. 12
The following is a DFT calculation (GGA-PBE) of a relaxed Sc4GaAsSe2 crystal.

Output
* formation energy (no corrections): -1.29 eV per atom

Unit cell a=3.810 b=6.826 c=6.761 alpha=71.37 beta=90.00 gamma=90.00
Element x y z (fractional)
Se: 0.000 0.000 0.000
Ga: 0.000 0.500 0.500
Sc: 0.500 0.254 0.750
Sc: 0.000 0.262 0.248
As: 0.500 0.500 0.000
Se: 0.500 0.000 0.500
Sc: 0.500 0.746 0.250
Sc: 0.000 0.738 0.752

=====

| no. | spin magnetization (Bohr magnetons per cell) | uncorrected energy (eV/atom) |
| --- | --- | --- |
| 1 | 0.004 | -4.573 |
| 2 | 0.000 | -4.049 |
| 3 | 0.000 | -3.248 |
| 4 | 0.014 | -5.210 |
| 5 | 2.075 | -7.077 |
| 6 | 0.000 | -3.344 |
| 7 | 0.000 | -4.452 |
| 8 | 1.001 | -4.892 |
| 9 | 0.016 | -6.241 |
| 10 | 1.559 | -4.092 |
| 11 | 0.000 | -2.934 |
| 12 | 0.000 | -6.288 |